[1]
## Be2CuSiRh (PBE)

Data for crystalline Be2CuSiRh at its relaxed geometry.

Computed properties:
**SG**: Cmcm (63)
**Magnetic moment**: 0.00 μB per formula unit
**Formation energy from raw total energies**: -327 meV/atom
**Mass density**: 6139 kg/m3
**DOS at the Fermi energy**: 3.3 states/eV/cell

a b c (Å): 3.6070 4.5362 7.6598
angles (deg): 90.00 90.00 113.43
With the nearest neighbours (Å) after each atom.
Sites, in units of the cell vectors:
Be1 0.3152 0.6304 0.9659  2 Be 2.17, 1 Si 2.33, 1 Rh 2.38, 2 Cu 2.38
Be2 0.6848 0.3696 0.0341  2 Be 2.17, 1 Si 2.33, 1 Rh 2.38, 2 Cu 2.38
Be3 0.3152 0.6304 0.5341  2 Be 2.17, 1 Si 2.33, 1 Rh 2.38, 2 Cu 2.38
Be4 0.6848 0.3696 0.4659  2 Be 2.17, 1 Si 2.33, 1 Rh 2.38, 2 Cu 2.38
Cu1 0.0000 0.0000 0.0000  6 Be 2.38-2.64, 2 Rh 2.53, 4 Si 2.63
Cu2 0.0000 0.0000 0.5000  6 Be 2.38-2.64, 2 Rh 2.53, 4 Si 2.63
Si1 0.5126 0.0252 0.7500  4 Be 2.33-2.61, 3 Rh 2.40-2.52
Si2 0.4874 0.9748 0.2500  4 Be 2.33-2.61, 3 Rh 2.40-2.52
Rh1 0.8011 0.6022 0.7500  6 Be 2.38-2.45, 3 Si 2.40-2.52, 2 Cu 2.53
Rh2 0.1989 0.3978 0.2500  6 Be 2.38-2.45, 3 Si 2.40-2.52, 2 Cu 2.53

=====

[2]
## BeCuSiRh (PBE)

Data for crystalline BeCuSiRh at its relaxed geometry.

Computed properties:
**SG**: F-43m (216)
**Magnetic moment**: 0.00 μB per formula unit
**Formation energy from raw total energies**: -353 meV/atom
**Mass density**: 7263 kg/m3
**DOS at the Fermi energy**: 1.6 states/eV/cell

a b c (Å): 4.0375 4.0375 4.0375
angles (deg): 60.00 60.00 60.00
With the nearest neighbours (Å) after each atom.
Sites, in units of the cell vectors:
Be1 0.7500 0.7500 0.7500  4 Rh 2.47, 4 Cu 2.47
Si1 0.2500 0.2500 0.2500  4 Cu 2.47, 4 Rh 2.47
Rh1 0.5000 0.5000 0.5000  4 Be 2.47, 4 Si 2.47
Cu1 0.0000 0.0000 0.0000  4 Si 2.47, 4 Be 2.47

=====

[3]
## Sm2Be3Cu12Rh (PBE)

Data for crystalline Sm2Be3Cu12Rh at its relaxed geometry.

Computed properties:
**DFT formation energy**: 25.42 kJ/mol of atoms
**SG**: R-3m (166)
**Magnetic moment**: 0.00 μB per formula unit
**Mass density**: 7088 kg/m3
**DOS at the Fermi energy**: 6.0 states/eV/cell

a b c (Å): 7.6786 7.6786 7.6786
angles (deg): 54.56 54.56 54.56
With the nearest neighbours (Å) after each atom.
Sites, in units of the cell vectors:
Sm1 0.5862 0.5862 0.5862  6 Cu 2.67-2.91
Sm2 0.4138 0.4138 0.4138  6 Cu 2.67-2.91
Be1 0.5000 0.0000 0.0000  6 Cu 2.15-2.39
Be2 0.0000 0.5000 0.0000  6 Cu 2.15-2.39
Be3 0.0000 0.0000 0.5000  6 Cu 2.15-2.39
Cu1 0.2250 0.2250 0.8706  2 Be 2.15
Cu2 0.8357 0.8357 0.4719  1 Be 2.39, 4 Cu 2.52-2.56
Cu3 0.4719 0.8357 0.8357  1 Be 2.39, 4 Cu 2.52-2.56
Cu4 0.8706 0.2250 0.2250  2 Be 2.15
Cu5 0.8357 0.4719 0.8357  1 Be 2.39, 4 Cu 2.52-2.56
Cu6 0.2250 0.8706 0.2250  2 Be 2.15
Cu7 0.7750 0.7750 0.1294  2 Be 2.15
Cu8 0.1643 0.1643 0.5281  1 Be 2.39, 4 Cu 2.52-2.56
Cu9 0.5281 0.1643 0.1643  1 Be 2.39, 4 Cu 2.52-2.56
Cu10 0.1294 0.7750 0.7750  2 Be 2.15
Cu11 0.1643 0.5281 0.1643  1 Be 2.39, 4 Cu 2.52-2.56
Cu12 0.7750 0.1294 0.7750  2 Be 2.15
Rh1 0.0000 0.0000 0.0000  12 Cu 2.54-2.75

=====

[4]
## YBeCuRh2 (PBE)

Data for crystalline YBeCuRh2 at its relaxed geometry.

Computed properties:
**DFT formation energy**: -49.18 kJ/mol of atoms
**SG**: P4/mmm (123)
**Magnetic moment**: 0.00 μB per formula unit
**Mass density**: 7999 kg/m3
**DOS at the Fermi energy**: 0.6 states/eV/cell

a b c (Å): 4.3025 4.3025 4.1186
angles (deg): 90.00 90.00 90.00
With the nearest neighbours (Å) after each atom.
Sites, in units of the cell vectors:
Y1 0.5000 0.5000 0.5000  8 Rh 2.98, 4 Cu 3.04
Be1 0.0000 0.0000 0.0000  2 Cu 2.06, 4 Rh 2.15
Rh1 0.0000 0.5000 0.0000  2 Be 2.15
Rh2 0.5000 0.0000 0.0000  2 Be 2.15
Cu1 0.0000 0.0000 0.5000  2 Be 2.06